Computed, not measured: a geometry-optimized BaFeCuF7 structure at the GGA+U level of DFT.

Cell lengths 10.8653, 10.1864, 5.6914 Å; angles 90.00, 119.03, 90.00 degrees
Last column: nearest neighbours and their distance in Å.
Space group C2 (No. 5)
Asymmetric unit:
Ba (0.0000, 0.0000, 0.0000) (multiplicity 2)  8 F 2.73-3.00
Ba (0.0000, 0.3635, 0.5000) (multiplicity 2)  10 F 2.74-2.98
Fe (0.1917, 0.5680, 0.1457) (multiplicity 4)  6 F 1.91-2.04
Cu (0.1837, 0.7784, 0.6264) (multiplicity 4)  4 F 1.87-2.07
F (0.0000, 0.4834, 0.0000) (multiplicity 2)  2 Fe 2.02
F (0.0000, 0.8584, 0.5000) (multiplicity 2)  2 Cu 1.94
F (0.1220, 0.6123, 0.7724) (multiplicity 4)  1 Fe 1.93, 1 Cu 2.13
F (0.1260, 0.1349, 0.7591) (multiplicity 4)  1 Fe 1.91
F (0.1310, 0.7301, 0.2435) (multiplicity 4)  1 Fe 1.96, 1 Cu 2.03
F (0.1316, 0.2249, 0.2645) (multiplicity 4)  1 Cu 1.87
F (0.2438, 0.4801, 0.4854) (multiplicity 4)  1 Fe 1.95
F (0.2486, 0.8981, 0.9599) (multiplicity 4)  1 Fe 2.04, 1 Cu 2.07

Calculated values
Calculated density, kg/m3: 4700
V, Å³ per atom: 13.77
Offset from the most stable computed form, eV/atom: 0.000
Energy, eV per atom: -5.101